{"formula": "KZn2NiF8", "functional": "GGA+U", "state": "relaxed", "dft_energy_ev_per_cell": -46.80, "sg": "No. 148", "cell": [[5.166, 0.000, 0.000], [2.583, 4.474, 0.000], [2.583, 1.491, 7.756]], "species": ["F", "F", "F", "F", "F", "F", "F", "F", "Zn", "Zn", "K", "Ni"], "fractional_positions": [[0.263, 0.938, 0.142], [0.062, 0.343, 0.858], [0.179, 0.179, 0.462], [0.657, 0.263, 0.142], [0.343, 0.737, 0.858], [0.737, 0.062, 0.858], [0.821, 0.821, 0.538], [0.938, 0.657, 0.142], [0.259, 0.259, 0.222], [0.741, 0.741, 0.778], [0.500, 0.500, 0.500], [0.000, 0.000, 0.000]]}